Record 1
CsScRhCl6 after structural relaxation, computed with PBE-GGA.

```
data_CsScRhCl6
_chemical_formula_sum 'Cs2 Sc2 Rh2 Cl12'
_cell_length_a 6.6133
_cell_length_b 10.9956
_cell_length_c 7.9621
_cell_angle_alpha 90.00
_cell_angle_beta 92.61
_cell_angle_gamma 90.00
_space_group_name_H-M_alt 'C 1 2 1'
_space_group_IT_number 5
loop_
_space_group_symop_operation_xyz
'x,y,z'
'-x,y,-z'
'x+1/2,y+1/2,z'
'-x+1/2,y+1/2,-z'
loop_
_atom_site_label
_atom_site_type_symbol
_atom_site_fract_x
_atom_site_fract_y
_atom_site_fract_z
_atom_site_occupancy
Cs1 Cs 0.0000 0.0000 0.0000 1
Sc1 Sc 0.0000 0.3396 0.5000 1
Rh1 Rh 0.0000 0.6804 0.5000 1
Cl1 Cl 0.1345 0.5209 0.6724 1
Cl2 Cl 0.1752 0.2042 0.7020 1
Cl3 Cl 0.1792 0.8314 0.6661 1
```

Results
The calculation puts the energy relative to the elements, uncorrected at -1.51 eV per atom.

---

Record 2
Cs2ScRhCl6 after structural relaxation, computed with PBE-GGA.

```
data_Cs2ScRhCl6
_chemical_formula_sum 'Cs8 Sc4 Rh4 Cl24'
_cell_length_a 10.3655
_cell_length_b 10.3655
_cell_length_c 10.3655
_cell_angle_alpha 90.00
_cell_angle_beta 90.00
_cell_angle_gamma 90.00
_space_group_name_H-M_alt 'F m -3 m'
_space_group_IT_number 225
_space_group_name_Hall '-F 4 2 3'
loop_
_atom_site_label
_atom_site_type_symbol
_atom_site_fract_x
_atom_site_fract_y
_atom_site_fract_z
_atom_site_occupancy
Cs1 Cs 0.2500 0.2500 0.2500 1
Sc1 Sc 0.0000 0.0000 0.0000 1
Rh1 Rh 0.0000 0.0000 0.5000 1
Cl1 Cl 0.0000 0.0000 0.2435 1
```

Results
The calculation puts the energy relative to the elements, uncorrected at -1.59 eV per atom.

---

Record 3
Cs2SiRhCl6 after structural relaxation, computed with PBE-GGA.

```
data_Cs2SiRhCl6
_chemical_formula_sum 'Cs4 Si2 Rh2 Cl12'
_cell_length_a 7.1768
_cell_length_b 7.1768
_cell_length_c 10.1418
_cell_angle_alpha 90.00
_cell_angle_beta 90.00
_cell_angle_gamma 90.00
_space_group_name_H-M_alt 'I 4/m m m'
_space_group_IT_number 139
_space_group_name_Hall '-I 4 2'
loop_
_atom_site_label
_atom_site_type_symbol
_atom_site_fract_x
_atom_site_fract_y
_atom_site_fract_z
_atom_site_occupancy
Cs1 Cs 0.0000 0.5000 0.2500 1
Si1 Si 0.0000 0.0000 0.0000 1
Rh1 Rh 0.0000 0.0000 0.5000 1
Cl1 Cl 0.0000 0.0000 0.2506 1
Cl2 Cl 0.2499 0.2499 0.0000 1
```

Results
The calculation puts the energy relative to the elements, uncorrected at -1.09 eV per atom.

---

Record 4
CsSrRh2Cl after structural relaxation, computed with PBE-GGA.

```
data_CsSrRh2Cl
_chemical_formula_sum 'Cs1 Sr1 Rh2 Cl1'
_cell_length_a 5.1249
_cell_length_b 5.1249
_cell_length_c 10.4979
_cell_angle_alpha 90.00
_cell_angle_beta 90.00
_cell_angle_gamma 90.00
_space_group_name_H-M_alt 'P 4/m m m'
_space_group_IT_number 123
_space_group_name_Hall '-P 4 2'
loop_
_atom_site_label
_atom_site_type_symbol
_atom_site_fract_x
_atom_site_fract_y
_atom_site_fract_z
_atom_site_occupancy
Cs1 Cs 0.0000 0.0000 0.0000 1
Sr1 Sr 0.0000 0.0000 0.5000 1
Rh1 Rh 0.0000 0.5000 0.5000 1
Cl1 Cl 0.5000 0.5000 0.0000 1
```

Results
The calculation puts the energy relative to the elements, uncorrected at 0.61 eV per atom.

---

Record 5
Cs2TaRhCl6 after structural relaxation, computed with PBE-GGA.

```
data_Cs2TaRhCl6
_chemical_formula_sum 'Cs4 Ta2 Rh2 Cl12'
_cell_length_a 6.9634
_cell_length_b 6.9634
_cell_length_c 12.0989
_cell_angle_alpha 90.00
_cell_angle_beta 90.00
_cell_angle_gamma 90.00
_space_group_name_H-M_alt 'I 4/m m m'
_space_group_IT_number 139
_space_group_name_Hall '-I 4 2'
loop_
_atom_site_label
_atom_site_type_symbol
_atom_site_fract_x
_atom_site_fract_y
_atom_site_fract_z
_atom_site_occupancy
Cs1 Cs 0.0000 0.5000 0.2500 1
Ta1 Ta 0.0000 0.0000 0.0000 1
Rh1 Rh 0.0000 0.0000 0.5000 1
Cl1 Cl 0.0000 0.0000 0.2044 1
Cl2 Cl 0.2478 0.2478 0.0000 1
```

Results
The calculation puts the energy relative to the elements, uncorrected at -1.13 eV per atom.

---

Record 6
CsTbRhCl6 after structural relaxation, computed with PBE-GGA.

```
data_CsTbRhCl6
_chemical_formula_sum 'Cs2 Tb2 Rh2 Cl12'
_cell_length_a 6.7845
_cell_length_b 11.2223
_cell_length_c 8.0547
_cell_angle_alpha 90.00
_cell_angle_beta 93.33
_cell_angle_gamma 90.00
_space_group_name_H-M_alt 'C 1 2 1'
_space_group_IT_number 5
loop_
_space_group_symop_operation_xyz
'x,y,z'
'-x,y,-z'
'x+1/2,y+1/2,z'
'-x+1/2,y+1/2,-z'
loop_
_atom_site_label
_atom_site_type_symbol
_atom_site_fract_x
_atom_site_fract_y
_atom_site_fract_z
_atom_site_occupancy
Cs1 Cs 0.0000 0.0000 0.0000 1
Tb1 Tb 0.0000 0.3367 0.5000 1
Rh1 Rh 0.0000 0.6829 0.5000 1
Cl1 Cl 0.1417 0.5295 0.6731 1
Cl2 Cl 0.1696 0.8304 0.6708 1
Cl3 Cl 0.1928 0.2009 0.7162 1
```

Results
The calculation puts the energy relative to the elements, uncorrected at -1.58 eV per atom.

---

Record 7
CsTc2RhCl after structural relaxation, computed with PBE-GGA.

```
data_CsTc2RhCl
_chemical_formula_sum 'Cs1 Tc2 Rh1 Cl1'
_cell_length_a 5.0611
_cell_length_b 5.0611
_cell_length_c 5.8289
_cell_angle_alpha 90.00
_cell_angle_beta 90.00
_cell_angle_gamma 90.00
_space_group_name_H-M_alt 'P 4/m m m'
_space_group_IT_number 123
_space_group_name_Hall '-P 4 2'
loop_
_atom_site_label
_atom_site_type_symbol
_atom_site_fract_x
_atom_site_fract_y
_atom_site_fract_z
_atom_site_occupancy
Cs1 Cs 0.0000 0.0000 0.0000 1
Tc1 Tc 0.0000 0.5000 0.0000 1
Rh1 Rh 0.5000 0.5000 0.5000 1
Cl1 Cl 0.0000 0.0000 0.5000 1
```

Results
The calculation puts the energy relative to the elements, uncorrected at 2.77 eV per atom.

---

Record 8
Cs2TeRhCl6 after structural relaxation, computed with PBE-GGA.

```
data_Cs2TeRhCl6
_chemical_formula_sum 'Cs4 Te2 Rh2 Cl12'
_cell_length_a 7.5207
_cell_length_b 7.5207
_cell_length_c 10.3450
_cell_angle_alpha 90.00
_cell_angle_beta 90.00
_cell_angle_gamma 90.00
_space_group_name_H-M_alt 'I 4/m m m'
_space_group_IT_number 139
_space_group_name_Hall '-I 4 2'
loop_
_atom_site_label
_atom_site_type_symbol
_atom_site_fract_x
_atom_site_fract_y
_atom_site_fract_z
_atom_site_occupancy
Cs1 Cs 0.0000 0.5000 0.2500 1
Te1 Te 0.0000 0.0000 0.0000 1
Rh1 Rh 0.0000 0.0000 0.5000 1
Cl1 Cl 0.0000 0.0000 0.2624 1
Cl2 Cl 0.2302 0.2302 0.5000 1
```

Results
The calculation puts the energy relative to the elements, uncorrected at -1.02 eV per atom.

---

Record 9
Cs2TlRhCl6 after structural relaxation, computed with PBE-GGA.

```
data_Cs2TlRhCl6
_chemical_formula_sum 'Cs8 Tl4 Rh4 Cl24'
_cell_length_a 10.8047
_cell_length_b 10.8047
_cell_length_c 10.8047
_cell_angle_alpha 90.00
_cell_angle_beta 90.00
_cell_angle_gamma 90.00
_space_group_name_H-M_alt 'F m -3 m'
_space_group_IT_number 225
_space_group_name_Hall '-F 4 2 3'
loop_
_atom_site_label
_atom_site_type_symbol
_atom_site_fract_x
_atom_site_fract_y
_atom_site_fract_z
_atom_site_occupancy
Cs1 Cs 0.2500 0.2500 0.2500 1
Tl1 Tl 0.0000 0.0000 0.0000 1
Rh1 Rh 0.0000 0.0000 0.5000 1
Cl1 Cl 0.0000 0.0000 0.2795 1
```

Results
The calculation puts the energy relative to the elements, uncorrected at -1.28 eV per atom.

---

Record 10
CsTlRhCl6 after structural relaxation, computed with PBE-GGA.

```
data_CsTlRhCl6
_chemical_formula_sum 'Cs1 Tl1 Rh1 Cl6'
_cell_length_a 7.1221
_cell_length_b 7.1221
_cell_length_c 7.3278
_cell_angle_alpha 90.00
_cell_angle_beta 90.00
_cell_angle_gamma 120.00
_space_group_name_H-M_alt 'P 3 1 2'
_space_group_IT_number 149
loop_
_space_group_symop_operation_xyz
'x,y,z'
'-y,x-y,z'
'-x+y,-x,z'
'-y,-x,-z'
'-x+y,y,-z'
'x,x-y,-z'
loop_
_atom_site_label
_atom_site_type_symbol
_atom_site_fract_x
_atom_site_fract_y
_atom_site_fract_z
_atom_site_occupancy
Cs1 Cs 0.0000 0.0000 0.0000 1
Tl1 Tl 0.3333 0.6667 0.5000 1
Rh1 Rh 0.6667 0.3333 0.5000 1
Cl1 Cl 0.3989 0.0632 0.6874 1
```

Results
The calculation puts the energy relative to the elements, uncorrected at -0.97 eV per atom.

---

Record 11
CsTmRhCl6 after structural relaxation, computed with PBE-GGA.

```
data_CsTmRhCl6
_chemical_formula_sum 'Cs2 Tm2 Rh2 Cl12'
_cell_length_a 6.7248
_cell_length_b 11.1587
_cell_length_c 8.0368
_cell_angle_alpha 90.00
_cell_angle_beta 92.99
_cell_angle_gamma 90.00
_space_group_name_H-M_alt 'C 1 2 1'
_space_group_IT_number 5
loop_
_space_group_symop_operation_xyz
'x,y,z'
'-x,y,-z'
'x+1/2,y+1/2,z'
'-x+1/2,y+1/2,-z'
loop_
_atom_site_label
_atom_site_type_symbol
_atom_site_fract_x
_atom_site_fract_y
_atom_site_fract_z
_atom_site_occupancy
Cs1 Cs 0.0000 0.0000 0.0000 1
Tm1 Tm 0.0000 0.3385 0.5000 1
Rh1 Rh 0.0000 0.6816 0.5000 1
Cl1 Cl 0.1392 0.5265 0.6735 1
Cl2 Cl 0.1726 0.8301 0.6691 1
Cl3 Cl 0.1863 0.2014 0.7108 1
```

Results
The calculation puts the energy relative to the elements, uncorrected at -1.58 eV per atom.

---

Record 12
CsVRhCl6 after structural relaxation, computed with PBE-GGA.

```
data_CsVRhCl6
_chemical_formula_sum 'Cs1 V1 Rh1 Cl6'
_cell_length_a 6.3097
_cell_length_b 6.3097
_cell_length_c 7.9160
_cell_angle_alpha 90.00
_cell_angle_beta 90.00
_cell_angle_gamma 120.00
_space_group_name_H-M_alt 'P 3 1 2'
_space_group_IT_number 149
loop_
_space_group_symop_operation_xyz
'x,y,z'
'-y,x-y,z'
'-x+y,-x,z'
'-y,-x,-z'
'-x+y,y,-z'
'x,x-y,-z'
loop_
_atom_site_label
_atom_site_type_symbol
_atom_site_fract_x
_atom_site_fract_y
_atom_site_fract_z
_atom_site_occupancy
Cs1 Cs 0.0000 0.0000 0.0000 1
V1 V 0.3333 0.6667 0.5000 1
Rh1 Rh 0.6667 0.3333 0.5000 1
Cl1 Cl 0.3645 0.0040 0.6696 1
```

Results
The calculation puts the energy relative to the elements, uncorrected at -1.14 eV per atom.

---

- What is the formula in the fifth record?
  Cs2TaRhCl6